Material: Li2CaSb
Method: DFT, SCAN
State: PBEsol geometry

Computed properties:
Density of states at the Fermi level ... 2.4 states/eV per cell
Calculated total energy ... -13.423 eV per atom
Crystal system ... tetragonal
Space-group type ... I4/mmm (139)

abc: 5.496 5.496 5.496
angles: 131.46 131.46 71.08
Sites, in units of the cell vectors:
Li 0.250 0.750 0.500
Li 0.750 0.250 0.500
Ca 0.000 0.000 0.000
Sb 0.500 0.500 0.000

=====

Material: LiCa2Sb
Method: DFT, SCAN
State: PBEsol geometry

Computed properties:
Density of states at the Fermi level ... 0.9 states/eV per cell
Calculated total energy ... -15.412 eV per atom
Crystal system ... tetragonal
Space-group type ... P4/mmm (123)

abc: 4.985 4.985 4.318
angles: 90.00 90.00 90.00
Sites, in units of the cell vectors:
Li 0.000 0.000 0.000
Ca 0.000 0.500 0.500
Ca 0.500 0.000 0.500
Sb 0.500 0.500 0.000

=====

Material: Li2CaSb
Method: DFT, SCAN
State: PBEsol geometry

Computed properties:
Density of states at the Fermi level ... 1.8 states/eV per cell
Calculated total energy ... -13.457 eV per atom
Crystal system ... orthorhombic
Space-group type ... Imm2 (44)

abc: 5.027 5.027 5.027
angles: 119.97 119.91 90.11
Sites, in units of the cell vectors:
Li 0.000 0.000 0.000
Li 0.750 0.250 0.500
Ca 0.499 0.499 0.000
Sb 0.249 0.749 0.500